(1)
NiBiTe2N | PBE-GGA | optimized geometry

abc: 5.512 5.512 3.568
angles: 90.00 90.00 90.00
Positions (direct):
Bi1 0.500 0.500 0.500
N1 0.000 0.000 0.500
Te1 0.000 0.500 0.000
Te2 0.500 0.000 0.000
Ni1 0.000 0.000 0.000

Formation energy (no corrections) ... 0.41 eV per atom
ΔE to the lowest computed polymorph ... 0.000 eV/atom

(2)
Ni2SbW | PBE-GGA | optimized geometry

abc: 5.083 5.083 5.083
angles: 144.46 129.42 63.34
Positions (direct):
W1 0.247 0.747 0.500
Ni1 0.982 0.982 0.000
Ni2 0.755 0.255 0.500
Sb1 0.517 0.517 0.000

Formation energy (no corrections) ... 0.30 eV per atom

(3)
DyMgSc4Se8 | PBE-GGA | optimized geometry

abc: 7.994 7.994 8.077
angles: 60.34 60.34 60.00
Positions (direct):
Mg1 0.374 0.374 0.878
Se1 0.250 0.250 0.733
Se2 0.749 0.749 0.269
Se3 0.250 0.768 0.733
Se4 0.759 0.759 0.724
Se5 0.768 0.250 0.733
Se6 0.749 0.232 0.269
Se7 0.243 0.243 0.271
Se8 0.232 0.749 0.269
Sc1 0.003 0.492 0.503
Sc2 0.492 0.003 0.503
Sc3 0.003 0.003 0.503
Sc4 0.627 0.627 0.118
Dy1 0.001 0.001 0.996

Formation energy (no corrections) ... -1.61 eV per atom

(4)
Ba6MgAg | PBE-GGA | optimized geometry

abc: 6.105 6.105 11.764
angles: 74.96 74.96 90.00
Positions (direct):
Ba1 0.908 0.408 0.184
Ba2 0.252 0.252 0.495
Ba3 0.592 0.092 0.816
Ba4 0.408 0.908 0.184
Ba5 0.748 0.748 0.505
Ba6 0.092 0.592 0.816
Mg1 0.500 0.500 0.000
Ag1 0.000 0.000 0.000

Formation enthalpy at 0 K ... -50.7 meV/atom

(5)
La5HoIn3 | PBE-GGA | optimized geometry

abc: 7.038 9.690 9.690
angles: 120.00 90.00 90.00
Positions (direct):
In1 0.750 0.680 0.000
In2 0.250 0.680 0.680
In3 0.250 0.000 0.320
In4 0.750 0.320 0.320
In5 0.250 0.320 0.000
In6 0.750 0.000 0.680
La1 0.750 0.341 0.000
La2 0.250 0.659 0.000
La3 0.250 0.000 0.659
La4 0.250 0.341 0.341
La5 0.000 0.333 0.667
La6 0.500 0.333 0.667
La7 0.500 0.667 0.333
La8 0.750 0.659 0.659
La9 0.000 0.667 0.333
La10 0.750 0.000 0.341
Ho1 0.500 0.000 0.000
Ho2 0.000 0.000 0.000

Formation enthalpy at 0 K ... -357.6 meV/atom

(6)
Ba7Ag2Pt2 | PBE-GGA | optimized geometry

abc: 8.398 8.644 8.644
angles: 109.25 94.18 94.18
Positions (direct):
Ba1 0.258 0.949 0.557
Ba2 0.763 0.571 0.571
Ba3 0.742 0.051 0.443
Ba4 0.237 0.429 0.429
Ba5 0.742 0.443 0.051
Ba6 0.258 0.557 0.949
Ba7 0.000 0.000 0.000
Pt1 0.109 0.717 0.717
Pt2 0.891 0.283 0.283
Ag1 0.500 0.311 0.689
Ag2 0.500 0.689 0.311

ΔE to the lowest computed polymorph ... 0.094 eV/atom
Formation enthalpy at 0 K ... -262.0 meV/atom

(7)
Hf8AlFe2 | PBE-GGA | optimized geometry

abc: 4.877 7.237 7.237
angles: 115.43 98.44 98.44
Positions (direct):
Fe1 0.000 0.297 0.703
Fe2 0.000 0.703 0.297
Al1 0.500 0.000 0.000
Hf1 0.500 0.755 0.245
Hf2 0.067 0.084 0.328
Hf3 0.067 0.328 0.084
Hf4 0.687 0.393 0.393
Hf5 0.500 0.245 0.755
Hf6 0.313 0.607 0.607
Hf7 0.933 0.916 0.672
Hf8 0.933 0.672 0.916

Formation enthalpy at 0 K ... -35.9 meV/atom

(8)
Cr2InNi | PBE-GGA | optimized geometry

abc: 3.071 3.093 6.761
angles: 62.77 90.00 90.00
Each line ends with the local moment (μB).
Positions (direct):
In1 0.000 0.486 0.514  0.02
Ni1 0.500 0.732 0.768  0.33
Cr1 0.500 0.300 0.201  -1.90
Cr2 0.000 0.983 0.017  2.03

Formation enthalpy at 0 K ... 158.8 meV/atom

(9)
Er5Ge2C | PBE-GGA | optimized geometry

abc: 5.521 6.530 12.965
angles: 90.00 90.00 115.01
Positions (direct):
Er1 0.943 0.887 0.876
Er2 0.660 0.321 0.891
Er3 0.301 0.601 0.750
Er4 0.340 0.679 0.391
Er5 0.699 0.399 0.250
Er6 0.943 0.887 0.624
Er7 0.057 0.113 0.376
Er8 0.057 0.113 0.124
Er9 0.660 0.321 0.609
Er10 0.340 0.679 0.109
Ge1 0.824 0.648 0.433
Ge2 0.824 0.648 0.067
Ge3 0.176 0.352 0.933
Ge4 0.176 0.352 0.567
C1 0.202 0.404 0.250
C2 0.798 0.596 0.750

Formation enthalpy at 0 K ... -310.3 meV/atom

(10)
Tb4Nd4Ho5 | PBE-GGA | optimized geometry

abc: 5.054 9.492 9.492
angles: 85.94 74.56 74.56
Positions (direct):
Ho1 0.539 0.772 0.150
Ho2 0.461 0.228 0.850
Ho3 0.689 0.850 0.772
Ho4 0.000 0.000 0.000
Ho5 0.311 0.150 0.228
Nd1 0.382 0.696 0.539
Nd2 0.921 0.461 0.696
Nd3 0.079 0.539 0.304
Nd4 0.618 0.304 0.461
Tb1 0.153 0.076 0.618
Tb2 0.847 0.924 0.382
Tb3 0.771 0.382 0.076
Tb4 0.229 0.618 0.924

Formation enthalpy at 0 K ... 18.0 meV/atom

(11)
ZrTc2B4 | PBE-GGA | optimized geometry

abc: 3.035 3.562 7.002
angles: 104.74 102.52 90.00
Positions (direct):
Tc1 0.815 0.815 0.630
Tc2 0.185 0.185 0.370
B1 0.646 0.646 0.292
B2 0.354 0.354 0.708
B3 0.075 0.575 0.150
B4 0.925 0.425 0.850
Zr1 0.500 0.000 0.000

Formation enthalpy at 0 K ... -562.1 meV/atom

(12)
ScCu2B2 | PBE-GGA | optimized geometry

abc: 6.581 6.581 2.520
angles: 90.00 90.00 90.00
Each line ends with the local moment (μB).
Positions (direct):
B1 0.347 0.847 0.000  0.00
B2 0.653 0.153 0.000  0.00
B3 0.847 0.653 0.000  0.00
B4 0.153 0.347 0.000  0.00
Sc1 0.500 0.500 0.000  0.33
Sc2 0.000 0.000 0.000  0.33
Cu1 0.639 0.861 0.500  0.00
Cu2 0.139 0.639 0.500  0.00
Cu3 0.861 0.361 0.500  0.00
Cu4 0.361 0.139 0.500  0.00

Formation enthalpy at 0 K ... 419.9 meV/atom

(13)
Y5Ag3 | PBE-GGA | optimized geometry

abc: 3.617 3.617 16.238
angles: 90.00 90.00 90.00
Each line ends with the local moment (μB).
Positions (direct):
Ag1 0.000 0.000 0.500  0.01
Ag2 0.500 0.500 0.113  0.00
Ag3 0.500 0.500 0.887  0.00
Y1 0.000 0.000 0.773  0.18
Y2 0.500 0.500 0.386  0.19
Y3 0.000 0.000 0.227  0.18
Y4 0.500 0.500 0.614  0.19
Y5 0.000 0.000 0.000  -0.03

ΔE to the lowest computed polymorph ... 0.000 eV/atom
Formation enthalpy at 0 K ... -227.1 meV/atom

(14)
Li2ScMo | PBE-GGA | optimized geometry

abc: 4.502 4.502 4.502
angles: 60.00 60.00 60.00
Positions (direct):
Mo1 0.500 0.500 0.500
Sc1 0.000 0.000 0.000
Li1 0.250 0.250 0.250
Li2 0.750 0.750 0.750

ΔE to the lowest computed polymorph ... 0.331 eV/atom
Formation enthalpy at 0 K ... 557.1 meV/atom

no.,total magnetization (μB per formula unit)
1,0.000
2,0.002
3,0.000
4,0.000
5,0.004
6,0.000
7,0.000
8,0.467
9,0.418
10,0.000
11,0.000
12,0.348
13,1.421
14,0.000